## Ca5NdIn6 (PBE-GGA)

Data for a relaxed structure of Ca5NdIn6.

Properties
E_form in eV/atom: -0.476

Unit cell a=17.200 b=7.767 c=5.435 alpha=90.00 beta=108.37 gamma=90.00
Space group C2/m (No. 12)
One atom of each set of equivalent atoms:
Ca (0.000, 0.000, 0.000) [2 per cell]
Ca (0.168, 0.000, 0.668) [4 per cell]
Ca (0.168, 0.500, 0.668) [4 per cell]
Nd (0.000, 0.500, 0.000) [2 per cell]
In (0.000, 0.245, 0.500) [4 per cell]
In (0.166, 0.247, 0.166) [8 per cell]

***

## Ca4NdIn5 (PBE-GGA)

Data for a relaxed structure of Ca4NdIn5.

Properties
E_form in eV/atom: -0.473

Unit cell a=3.881 b=3.881 c=19.082 alpha=90.00 beta=90.00 gamma=90.00
Space group P4/mmm (No. 123)
One atom of each set of equivalent atoms:
Ca (0.000, 0.000, 0.100) [2 per cell]
Ca (0.000, 0.000, 0.297) [2 per cell]
Nd (0.000, 0.000, 0.500) [1 per cell]
In (0.500, 0.500, 0.000) [1 per cell]
In (0.500, 0.500, 0.199) [2 per cell]
In (0.500, 0.500, 0.398) [2 per cell]

***

## Ca4Nd3In4 (PBE-GGA)

Data for a relaxed structure of Ca4Nd3In4.

Properties
E_form in eV/atom: -0.295

Unit cell a=5.436 b=7.356 c=17.661 alpha=90.00 beta=90.00 gamma=90.00
Space group Immm (No. 71)
One atom of each set of equivalent atoms:
Ca (0.000, 0.232, 0.181) [8 per cell]
Nd (0.000, 0.000, 0.401) [4 per cell]
Nd (0.000, 0.500, 0.500) [2 per cell]
In (0.000, 0.299, 0.000) [4 per cell]
In (0.000, 0.500, 0.319) [4 per cell]

***

## CaNd2In (PBE-GGA)

Data for a relaxed structure of CaNd2In.

Properties
E_form in eV/atom: -0.165
Offset from the most stable computed form in meV per atom: 71.0

Unit cell a=4.067 b=4.067 c=7.934 alpha=90.00 beta=90.00 gamma=90.00
Space group P4/mmm (No. 123)
One atom of each set of equivalent atoms:
Ca (0.000, 0.000, 0.000) [1 per cell]
Nd (0.500, 0.500, 0.276) [2 per cell]
In (0.000, 0.000, 0.500) [1 per cell]

***

## CaNdIn3 (PBE-GGA)

Data for a relaxed structure of CaNdIn3.

Properties
E_form in eV/atom: -0.191

Unit cell a=7.2821 b=7.2821 c=6.6945 alpha=90.00 beta=90.00 gamma=120.00
Space group P6_3/mmc (No. 194)
One atom of each set of equivalent atoms:
Ca (0.0000, 0.0000, 0.0000) [2 per cell]
Nd (0.3333, 0.6667, 0.2500) [2 per cell]
In (0.2022, 0.4043, 0.7500) [6 per cell]

***

## CaNd5In4 (PBE-GGA)

Data for a relaxed structure of CaNd5In4.

Properties
E_form in eV/atom: -0.125
Offset from the most stable computed form in meV per atom: 242.7

Unit cell a=8.543 b=9.131 c=8.721 alpha=90.00 beta=90.00 gamma=90.00
Space group Pmmn (No. 59, origin choice 2)
One atom of each set of equivalent atoms:
Ca (0.250, 0.250, 0.125) [2 per cell]
Nd (0.016, 0.055, 0.763) [8 per cell]
Nd (0.250, 0.750, 0.576) [2 per cell]
In (0.091, 0.750, 0.944) [4 per cell]
In (0.250, 0.090, 0.468) [4 per cell]

***

## CaNd2In (PBE-GGA)

Data for a relaxed structure of CaNd2In.

Properties
E_form in eV/atom: -0.060
Offset from the most stable computed form in meV per atom: 176.2

Unit cell a=5.6450 b=5.6450 c=13.8370 alpha=90.00 beta=90.00 gamma=120.00
Space group R3m (No. 160, hexagonal axes)
One atom of each set of equivalent atoms:
Ca (0.0000, 0.0000, 0.0000) [3 per cell]
Nd (0.0000, 0.0000, 0.2501) [3 per cell]
Nd (0.0000, 0.0000, 0.4994) [3 per cell]
In (0.0000, 0.0000, 0.7496) [3 per cell]

***

## CaNd2In (PBE-GGA)

Data for a relaxed structure of CaNd2In.

Properties
E_form in eV/atom: -0.209
Offset from the most stable computed form in meV per atom: 26.7

Unit cell a=5.664 b=7.178 c=6.175 alpha=90.00 beta=90.00 gamma=90.00
Space group Pmmn (No. 59, origin choice 2)
One atom of each set of equivalent atoms:
Ca (0.250, 0.250, 0.155) [2 per cell]
Nd (0.250, 0.003, 0.683) [4 per cell]
In (0.250, 0.750, 0.177) [2 per cell]

***

## CaNd3In2 (PBE-GGA)

Data for a relaxed structure of CaNd3In2.

Properties
E_form in eV/atom: -0.287
Offset from the most stable computed form in meV per atom: 98.0

Unit cell a=17.347 b=5.432 c=8.324 alpha=90.00 beta=95.29 gamma=90.00
Space group C2/m (No. 12)
One atom of each set of equivalent atoms:
Ca (0.155, 0.000, 0.279) [4 per cell]
Nd (0.061, 0.000, 0.834) [4 per cell]
Nd (0.123, 0.500, 0.552) [4 per cell]
Nd (0.180, 0.500, 0.992) [4 per cell]
In (0.031, 0.500, 0.183) [4 per cell]
In (0.221, 0.000, 0.671) [4 per cell]

***

## CaNd2In (PBE-GGA)

Data for a relaxed structure of CaNd2In.

Properties
E_form in eV/atom: -0.236
Offset from the most stable computed form in meV per atom: 0.0

Unit cell a=5.058 b=5.058 c=4.936 alpha=90.00 beta=90.00 gamma=90.00
Space group P4/mmm (No. 123)
One atom of each set of equivalent atoms:
Ca (0.000, 0.000, 0.000) [1 per cell]
Nd (0.000, 0.500, 0.500) [2 per cell]
In (0.500, 0.500, 0.000) [1 per cell]

***

## CaNd3In2 (PBE-GGA)

Data for a relaxed structure of CaNd3In2.

Properties
E_form in eV/atom: -0.385
Offset from the most stable computed form in meV per atom: 0.0

Unit cell a=5.540 b=9.665 c=6.950 alpha=90.00 beta=90.00 gamma=90.00
Space group Pmc2_1 (No. 26)
One atom of each set of equivalent atoms:
Ca (0.000, 0.001, 0.000) [2 per cell]
Nd (0.000, 0.333, 0.748) [2 per cell]
Nd (0.500, 0.166, 0.251) [2 per cell]
Nd (0.500, 0.499, 0.999) [2 per cell]
In (0.000, 0.334, 0.249) [2 per cell]
In (0.500, 0.166, 0.750) [2 per cell]

***

## CaNd5In5 (PBE-GGA)

Data for a relaxed structure of CaNd5In5.

Properties
E_form in eV/atom: -0.224

Unit cell a=18.154 b=5.836 c=7.031 alpha=90.00 beta=112.29 gamma=90.00
Space group C2/m (No. 12)
One atom of each set of equivalent atoms:
Ca (0.000, 0.000, 0.000) [2 per cell]
Nd (0.000, 0.000, 0.500) [2 per cell]
Nd (0.140, 0.500, 0.645) [4 per cell]
Nd (0.188, 0.500, 0.192) [4 per cell]
In (0.000, 0.500, 0.000) [2 per cell]
In (0.163, 0.000, 0.387) [4 per cell]
In (0.163, 0.000, 0.940) [4 per cell]

***

## CaNd12In3 (PBE-GGA)

Data for a relaxed structure of CaNd12In3.

Properties
E_form in eV/atom: -0.180

Unit cell a=5.014 b=5.014 c=20.499 alpha=90.00 beta=90.00 gamma=90.00
Space group P4/mmm (No. 123)
One atom of each set of equivalent atoms:
Ca (0.000, 0.000, 0.000) [1 per cell]
Nd (0.000, 0.500, 0.136) [4 per cell]
Nd (0.000, 0.500, 0.378) [4 per cell]
Nd (0.500, 0.500, 0.000) [1 per cell]
Nd (0.500, 0.500, 0.256) [2 per cell]
Nd (0.500, 0.500, 0.500) [1 per cell]
In (0.000, 0.000, 0.258) [2 per cell]
In (0.000, 0.000, 0.500) [1 per cell]

***

## Ca2Nd3In3 (PBE-GGA)

Data for a relaxed structure of Ca2Nd3In3.

Properties
E_form in eV/atom: -0.315

Unit cell a=3.853 b=5.605 c=23.207 alpha=90.00 beta=90.00 gamma=90.00
Space group Immm (No. 71)
One atom of each set of equivalent atoms:
Ca (0.000, 0.000, 0.233) [4 per cell]
Nd (0.000, 0.000, 0.000) [2 per cell]
Nd (0.000, 0.500, 0.118) [4 per cell]
In (0.000, 0.000, 0.500) [2 per cell]
In (0.000, 0.500, 0.378) [4 per cell]

***

## CaNdInPd (PBE-GGA)

Data for a relaxed structure of CaNdInPd.

Properties
E_form in eV/atom: -0.536

Unit cell a=7.457 b=7.457 c=7.457 alpha=90.00 beta=90.00 gamma=90.00
Space group F-43m (No. 216)
One atom of each set of equivalent atoms:
Ca (0.000, 0.000, 0.000) [4 per cell]
Nd (0.000, 0.000, 0.500) [4 per cell]
In (0.250, 0.250, 0.250) [4 per cell]
Pd (0.250, 0.250, 0.750) [4 per cell]

***

## CaPmNdIn (PBE-GGA)

Data for a relaxed structure of CaPmNdIn.

Properties
E_form in eV/atom: -0.193

Unit cell a=7.932 b=7.932 c=7.932 alpha=90.00 beta=90.00 gamma=90.00
Space group F-43m (No. 216)
One atom of each set of equivalent atoms:
Ca (0.000, 0.000, 0.000) [4 per cell]
Pm (0.250, 0.250, 0.750) [4 per cell]
Nd (0.250, 0.250, 0.250) [4 per cell]
In (0.000, 0.000, 0.500) [4 per cell]

***

## CaNdScIn (PBE-GGA)

Data for a relaxed structure of CaNdScIn.

Properties
E_form in eV/atom: -0.130

Unit cell a=7.684 b=7.684 c=7.684 alpha=90.00 beta=90.00 gamma=90.00
Space group F-43m (No. 216)
One atom of each set of equivalent atoms:
Ca (0.000, 0.000, 0.000) [4 per cell]
Nd (0.250, 0.250, 0.250) [4 per cell]
Sc (0.250, 0.250, 0.750) [4 per cell]
In (0.000, 0.000, 0.500) [4 per cell]

***

## CaNdIn2Se4 (PBE-GGA)

Data for a relaxed structure of CaNdIn2Se4.

Properties
Calculated total energy in eV/atom: -4.4526

Unit cell a=7.395 b=4.256 c=7.698 alpha=90.00 beta=108.54 gamma=90.00
Space group P2/m (No. 10)
One atom of each set of equivalent atoms:
Ca (0.000, 0.000, 0.000) [1 per cell]
Nd (0.500, 0.500, 0.000) [1 per cell]
In (0.000, 0.500, 0.500) [1 per cell]
In (0.500, 0.000, 0.500) [1 per cell]
Se (0.249, 0.500, 0.232) [2 per cell]
Se (0.262, 0.000, 0.770) [2 per cell]

***

## CaNdSmIn (PBE-GGA)

Data for a relaxed structure of CaNdSmIn.

Properties
E_form in eV/atom: -0.187

Unit cell a=7.917 b=7.917 c=7.917 alpha=90.00 beta=90.00 gamma=90.00
Space group F-43m (No. 216)
One atom of each set of equivalent atoms:
Ca (0.000, 0.000, 0.000) [4 per cell]
Nd (0.250, 0.250, 0.750) [4 per cell]
Sm (0.250, 0.250, 0.250) [4 per cell]
In (0.000, 0.000, 0.500) [4 per cell]

***

## CaNdInSn (PBE-GGA)

Data for a relaxed structure of CaNdInSn.

Properties
E_form in eV/atom: -0.573
Offset from the most stable computed form in meV per atom: 0.0

Unit cell a=4.497 b=5.020 c=5.069 alpha=90.00 beta=90.00 gamma=90.00
Space group Pmmm (No. 47)
One atom of each set of equivalent atoms:
Ca (0.000, 0.000, 0.000) [1 per cell]
Nd (0.000, 0.500, 0.500) [1 per cell]
In (0.500, 0.500, 0.000) [1 per cell]
Sn (0.500, 0.000, 0.500) [1 per cell]

***

## CaNdInSn (PBE-GGA)

Data for a relaxed structure of CaNdInSn.

Properties
E_form in eV/atom: -0.527
Offset from the most stable computed form in meV per atom: 45.8

Unit cell a=7.731 b=7.731 c=7.731 alpha=90.00 beta=90.00 gamma=90.00
Space group F-43m (No. 216)
One atom of each set of equivalent atoms:
Ca (0.000, 0.000, 0.000) [4 per cell]
Nd (0.000, 0.000, 0.500) [4 per cell]
In (0.250, 0.250, 0.250) [4 per cell]
Sn (0.250, 0.250, 0.750) [4 per cell]

***

## CaTbNdIn (PBE-GGA)

Data for a relaxed structure of CaTbNdIn.

Properties
E_form in eV/atom: -0.170

Unit cell a=7.871 b=7.871 c=7.871 alpha=90.00 beta=90.00 gamma=90.00
Space group F-43m (No. 216)
One atom of each set of equivalent atoms:
Ca (0.000, 0.000, 0.000) [4 per cell]
Tb (0.250, 0.250, 0.750) [4 per cell]
Nd (0.250, 0.250, 0.250) [4 per cell]
In (0.000, 0.000, 0.500) [4 per cell]

***

## Ca2NdInTe4 (PBE-GGA)

Data for a relaxed structure of Ca2NdInTe4.

Properties
Calculated total energy in eV/atom: -4.2808

Unit cell a=7.779 b=4.560 c=8.095 alpha=90.00 beta=108.80 gamma=90.00
Space group P2/m (No. 10)
One atom of each set of equivalent atoms:
Ca (0.000, 0.000, 0.000) [1 per cell]
Ca (0.000, 0.500, 0.500) [1 per cell]
Nd (0.500, 0.000, 0.500) [1 per cell]
In (0.500, 0.500, 0.000) [1 per cell]
Te (0.242, 0.000, 0.736) [2 per cell]
Te (0.249, 0.500, 0.256) [2 per cell]

***

## CaNdIn2Te4 (PBE-GGA)

Data for a relaxed structure of CaNdIn2Te4.

Properties
Calculated total energy in eV/atom: -4.0221

Unit cell a=7.815 b=4.498 c=8.185 alpha=90.00 beta=108.45 gamma=90.00
Space group P2/m (No. 10)
One atom of each set of equivalent atoms:
Ca (0.000, 0.000, 0.000) [1 per cell]
Nd (0.500, 0.500, 0.000) [1 per cell]
In (0.000, 0.500, 0.500) [1 per cell]
In (0.500, 0.000, 0.500) [1 per cell]
Te (0.250, 0.500, 0.239) [2 per cell]
Te (0.258, 0.000, 0.762) [2 per cell]